## TaCu4Pb (PBE)

Data for an optimized crystal structure of TaCu4Pb.

Cell lengths 7.1465, 7.1465, 7.1465 Å; angles 90.00, 90.00, 90.00 degrees
Space group F-43m (No. 216)
Unique sites:
Ta (0.0000, 0.0000, 0.0000) [4 per cell]
Cu (0.1265, 0.1265, 0.6265) [16 per cell]
Pb (0.2500, 0.2500, 0.2500) [4 per cell]

Values from the calculation:
Energy of formation = 0.363 eV per atom
V = 365.0 Å³/cell
DOS at the Fermi energy = 24.28 states/eV per cell
DFT total energy = -4.961 eV/atom

---

## Ta2CuPb (PBE)

Data for an optimized crystal structure of Ta2CuPb.

Cell lengths 3.0800, 3.8361, 6.6887 Å; angles 90.00, 103.28, 90.00 degrees
Space group Pm (No. 6)
Unique sites:
Ta (0.0000, 0.0000, 0.0000) [1 per cell]
Ta (0.3847, 0.5000, 0.7630) [1 per cell]
Cu (0.5893, 0.5000, 0.1793) [1 per cell]
Pb (0.7404, 0.0000, 0.4731) [1 per cell]

Values from the calculation:
Energy of formation = 0.362 eV per atom
V = 76.9 Å³/cell
DOS at the Fermi energy = 2.12 states/eV per cell
DFT total energy = -7.515 eV/atom

---

## TaCuPb2 (PBE)

Data for an optimized crystal structure of TaCuPb2.

Cell lengths 3.2768, 3.2768, 27.7908 Å; angles 90.00, 90.00, 120.00 degrees
Space group R-3m (No. 166, hexagonal axes)
Unique sites:
Ta (0.0000, 0.0000, 0.0000) [3 per cell]
Cu (0.0000, 0.0000, 0.5000) [3 per cell]
Pb (0.0000, 0.0000, 0.2455) [6 per cell]

Values from the calculation:
Energy of formation = 0.518 eV per atom
Energy above the most stable polymorph in this dataset = 0.241 eV/atom
V = 258.4 Å³/cell
DOS at the Fermi energy = 10.04 states/eV per cell
DFT total energy = -5.324 eV/atom

---

## Ta2CuPb (PBE)

Data for an optimized crystal structure of Ta2CuPb.

Cell lengths 2.9430, 2.9430, 8.9058 Å; angles 90.00, 90.00, 90.00 degrees
Space group P4mm (No. 99)
Unique sites:
Ta (0.0000, 0.0000, 0.0000) [1 per cell]
Ta (0.5000, 0.5000, 0.2488) [1 per cell]
Cu (0.0000, 0.0000, 0.4551) [1 per cell]
Pb (0.5000, 0.5000, 0.7189) [1 per cell]

Values from the calculation:
Energy of formation = 0.368 eV per atom
V = 77.1 Å³/cell
DOS at the Fermi energy = 2.68 states/eV per cell
DFT total energy = -7.509 eV/atom

---

> Which of these has the highest DOS at the Fermi energy?

TaCu4Pb